No. 1
A geometry-optimized Mn2PdCl8 structure. Source: Alexandria, functional PBE.

abc: 5.999 7.500 7.500
angles: 84.05 92.82 92.82
Positions (direct):
Pd (0.000, 0.000, 0.000)
Mn (0.358, 0.202, 0.202)
Mn (0.642, 0.798, 0.798)
Cl (0.223, 0.375, 0.375)
Cl (0.782, 0.698, 0.067)
Cl (0.712, 0.161, 0.161)
Cl (0.288, 0.839, 0.839)
Cl (0.218, 0.302, 0.933)
Cl (0.777, 0.625, 0.625)
Cl (0.782, 0.067, 0.698)
Cl (0.218, 0.933, 0.302)

## Properties
Spin magnetization in μB per formula unit: 5.9
Uncorrected formation energy in eV/atom: -0.70
Space group: No. 12



No. 2
A geometry-optimized CeTlAg structure. Source: Alexandria, functional PBE.

abc: 2.994 2.994 8.996
angles: 99.58 99.58 90.00
Positions (direct):
Ce (0.456, 0.456, 0.912)
Tl (0.113, 0.113, 0.227)
Ag (0.281, 0.281, 0.561)

## Properties
Spin magnetization in μB per formula unit: 0.3
Energy of formation from the pure elements in eV/atom: 0.3004
Space group: No. 107



No. 3
A geometry-optimized NaGe3 structure. Source: Alexandria, functional PBE.

abc: 4.033 4.033 6.255
angles: 108.81 108.81 90.00
Positions (direct):
Ge (0.722, 0.722, 0.445)
Ge (0.278, 0.278, 0.555)
Ge (0.500, 0.500, 0.000)
Na (0.000, 0.000, 0.000)

## Properties
Spin magnetization in μB per formula unit: 0.0
Energy of formation from the pure elements in eV/atom: 0.2701
Space group: No. 139



No. 4
A geometry-optimized InBi2BPb structure. Source: Alexandria, functional PBE.

abc: 5.772 5.756 5.772
angles: 90.00 90.00 90.00
Positions (direct):
B (0.500, 0.500, 0.500)
Bi (0.000, 0.000, 0.500)
Bi (0.500, 0.000, 0.000)
Pb (0.000, 0.500, 0.000)
In (0.000, 0.000, 0.000)

## Properties
Spin magnetization in μB per formula unit: 0.0
Energy of formation from the pure elements in eV/atom: 1.5186
Space group: No. 123



No. 5
A geometry-optimized InGe2I8 structure. Source: Alexandria, functional PBE.

abc: 7.585 8.802 8.802
angles: 84.21 79.74 79.74
Positions (direct):
I (0.823, 0.621, 0.621)
I (0.177, 0.379, 0.379)
I (0.199, 0.901, 0.263)
I (0.727, 0.206, 0.206)
I (0.801, 0.737, 0.099)
I (0.199, 0.263, 0.901)
I (0.801, 0.099, 0.737)
I (0.273, 0.794, 0.794)
Ge (0.353, 0.179, 0.179)
Ge (0.647, 0.821, 0.821)
In (0.000, 0.000, 0.000)

## Properties
Spin magnetization in μB per formula unit: 0.0
Uncorrected formation energy in eV/atom: -0.26
Space group: No. 12



No. 6
A geometry-optimized Ac2HoRh2I2 structure. Source: Alexandria, functional PBE.

abc: 5.147 5.147 9.535
angles: 105.66 105.66 90.00
Positions (direct):
Rh (0.500, 0.000, 0.000)
Rh (0.000, 0.500, 0.000)
Ho (0.000, 0.000, 0.000)
Ac (0.393, 0.393, 0.786)
Ac (0.607, 0.607, 0.214)
I (0.190, 0.190, 0.379)
I (0.810, 0.810, 0.621)

## Properties
Spin magnetization in μB per formula unit: 0.0
Uncorrected formation energy in eV/atom: -0.85
Space group: No. 139



No. 7
A geometry-optimized LiNbI2O structure. Source: Alexandria, functional PBE.

abc: 5.325 5.325 3.536
angles: 90.00 90.00 90.00
Positions (direct):
Nb (0.500, 0.500, 0.500)
O (0.000, 0.000, 0.500)
Li (0.000, 0.000, 0.000)
I (0.500, 0.000, 0.000)
I (0.000, 0.500, 0.000)

## Properties
Spin magnetization in μB per formula unit: 2.1
Uncorrected formation energy in eV/atom: 0.13
Space group: No. 123



No. 8
A geometry-optimized TbNdEuHo structure. Source: Alexandria, functional PBE.

abc: 5.791 5.791 5.791
angles: 60.00 60.00 60.00
Positions (direct):
Ho (0.500, 0.500, 0.500)
Nd (0.250, 0.250, 0.250)
Eu (0.750, 0.750, 0.750)
Tb (0.000, 0.000, 0.000)

## Properties
Spin magnetization in μB per formula unit: 7.3
Energy of formation from the pure elements in eV/atom: 0.1540
Space group: No. 216